Record 1
Here is an optimized crystal structure of KLiCr from Alexandria via LeMat-Bulk. Energies are from PBE.

Summary:
Crystal system: orthorhombic
Relative energy among the computed polymorphs, kcal/mol of atoms: 0.00
Energy of formation, meV per atom: 746

a b c (Å): 6.9110 6.9110 6.9110
angles (deg): 152.27 143.04 46.83
Last column: nearest neighbours and their distance in Å.
Fractional coordinates of all 3 atoms:
Cr 0.0452 0.0452 0.0000  4 Li 2.90
K 0.3368 0.3368 0.0000  2 K 3.31, 1 Li 3.57, 1 Cr 3.70
Li 0.6180 0.6180 0.0000  4 Cr 2.90

Record 2
Here is an optimized crystal structure of KLi2Cr from Alexandria via LeMat-Bulk. Energies are from PBE.

Summary:
Crystal system: tetragonal
Relative energy among the computed polymorphs, kcal/mol of atoms: 3.84
Energy of formation, meV per atom: 705

a b c (Å): 8.3818 8.3818 6.8398
angles (deg): 52.21 52.21 90.00
Last column: nearest neighbours and their distance in Å.
Fractional coordinates of all 8 atoms:
Cr 0.0000 0.0000 0.0000  4 Li 2.81
Cr 0.7500 0.2500 0.5000  4 Li 2.81
K 0.5000 0.5000 0.0000  8 Li 3.39-3.70, 2 Cr 3.41
K 0.2500 0.7500 0.5000  8 Li 3.39-3.70, 2 Cr 3.41
Li 0.6765 0.1250 0.2500  2 Cr 2.81
Li 0.0735 0.6250 0.2500  2 Cr 2.81
Li 0.3750 0.3235 0.7500  2 Cr 2.81
Li 0.8750 0.9265 0.7500  2 Cr 2.81

Record 3
Here is an optimized crystal structure of KLi2Cr from Alexandria via LeMat-Bulk. Energies are from PBE.

Summary:
Crystal system: trigonal
Relative energy among the computed polymorphs, kcal/mol of atoms: 3.06
Energy of formation, meV per atom: 672

a b c (Å): 10.9989 10.9989 10.9989
angles (deg): 17.75 17.75 17.75
Last column: nearest neighbours and their distance in Å.
Fractional coordinates of all 4 atoms:
Cr 0.5138 0.5138 0.5138  3 Li 2.93
K 0.7532 0.7532 0.7532  6 K 3.39, 3 Cr 3.62
Li 0.9855 0.9855 0.9855  9 Li 3.03-3.39
Li 0.2475 0.2475 0.2475  3 Cr 2.93, 3 Li 3.03

Record 4
Here is an optimized crystal structure of KLiCr from Alexandria via LeMat-Bulk. Energies are from PBE.

Summary:
Crystal system: cubic
Relative energy among the computed polymorphs, kcal/mol of atoms: 5.37
Energy of formation, meV per atom: 979

a b c (Å): 5.3294 5.3294 5.3294
angles (deg): 60.00 60.00 60.00
Last column: nearest neighbours and their distance in Å.
Fractional coordinates of all 3 atoms:
Cr 0.0000 0.0000 0.0000  4 Li 3.26
K 0.5000 0.5000 0.5000  4 Li 3.26
Li 0.7500 0.7500 0.7500  4 Cr 3.26, 4 K 3.26

Record 5
Here is an optimized crystal structure of KLi2Cr from Alexandria via LeMat-Bulk. Energies are from PBE.

Summary:
Crystal system: cubic
Relative energy among the computed polymorphs, kcal/mol of atoms: 2.31
Energy of formation, meV per atom: 639

a b c (Å): 5.4094 5.4094 5.4094
angles (deg): 60.00 60.00 60.00
Last column: nearest neighbours and their distance in Å.
Fractional coordinates of all 4 atoms:
Cr 0.5000 0.5000 0.5000  8 Li 3.31
K 0.0000 0.0000 0.0000  8 Li 3.31
Li 0.2500 0.2500 0.2500  4 Cr 3.31, 4 K 3.31
Li 0.7500 0.7500 0.7500  4 K 3.31, 4 Cr 3.31

Record 6
Here is an optimized crystal structure of KLi2Cr from Alexandria via LeMat-Bulk. Energies are from PBE.

Summary:
Crystal system: monoclinic
Relative energy among the computed polymorphs, kcal/mol of atoms: 1.18
Energy of formation, meV per atom: 590

a b c (Å): 5.1938 5.1938 7.3460
angles (deg): 85.24 85.24 36.02
Last column: nearest neighbours and their distance in Å.
Fractional coordinates of all 4 atoms:
Cr 0.5111 0.5111 0.4079  5 Li 2.86-2.96
K 0.7527 0.7527 0.7395  2 K 3.21, 1 Cr 3.56
Li 0.9883 0.9883 0.0898  2 Cr 2.86, 3 Li 2.96-3.05
Li 0.2479 0.2479 0.2629  3 Cr 2.89-2.96, 5 Li 2.96-3.21

Record 7
Here is an optimized crystal structure of K4LiCr from Alexandria via LeMat-Bulk. Energies are from PBE.

Summary:
Crystal system: cubic
Energy of formation, meV per atom: 684

a b c (Å): 7.6241 7.6241 7.6241
angles (deg): 60.00 60.00 60.00
Last column: nearest neighbours and their distance in Å.
Fractional coordinates of all 6 atoms:
K 0.8766 0.3745 0.3745  6 K 3.80-3.83
K 0.3745 0.3745 0.8766  6 K 3.80-3.83
K 0.3745 0.8766 0.3745  6 K 3.80-3.83
K 0.3745 0.3745 0.3745  6 K 3.80-3.83
Li 0.7500 0.7500 0.7500  12 K 4.47, 4 Cr 4.67
Cr 0.0000 0.0000 0.0000  12 K 4.47, 4 Li 4.67

Record 8
Here is an optimized crystal structure of KLi2Cr from Alexandria via LeMat-Bulk. Energies are from PBE.

Summary:
Crystal system: monoclinic
Relative energy among the computed polymorphs, kcal/mol of atoms: 0.85
Energy of formation, meV per atom: 576

a b c (Å): 4.7545 3.2096 7.6983
angles (deg): 78.03 90.00 90.00
Last column: nearest neighbours and their distance in Å.
Fractional coordinates of all 4 atoms:
Cr 0.0000 0.4909 0.4004  6 Li 2.90-3.01, 2 Cr 3.21
K 0.5000 0.8099 0.7398  2 K 3.21, 1 Li 3.45
Li 0.0000 0.1439 0.0780  2 Li 2.83, 2 Cr 2.90-2.92
Li 0.5000 0.0554 0.2817  2 Li 2.83, 4 Cr 3.00-3.01